# SCAN Sr2ScAlPb, single point on PBEsol structure
data_Sr2ScAlPb
_chemical_formula_sum 'Sr2 Sc1 Al1 Pb1'
_cell_length_a 5.9827
_cell_length_b 5.9827
_cell_length_c 5.2005
_cell_angle_alpha 90.00
_cell_angle_beta 90.00
_cell_angle_gamma 90.00
_space_group_name_H-M_alt 'P 1'
_space_group_IT_number 1
loop_
_space_group_symop_operation_xyz
'x,y,z'
loop_
_atom_site_label
_atom_site_fract_x
_atom_site_fract_y
_atom_site_fract_z
Sr1 0.0000 0.5000 0.0000
Sr2 0.5000 0.0000 0.0000
Sc1 0.0000 0.0000 0.5000
Al1 0.0000 0.0000 0.0000
Pb1 0.5000 0.5000 0.5000
# Raw total energy (Ry/atom): -2.0842

---

# SCAN AlPb2Se, single point on PBEsol structure
data_AlPb2Se
_chemical_formula_sum 'Al1 Pb2 Se1'
_cell_length_a 5.1755
_cell_length_b 5.1755
_cell_length_c 5.1755
_cell_angle_alpha 60.00
_cell_angle_beta 60.00
_cell_angle_gamma 60.00
_space_group_name_H-M_alt 'P 1'
_space_group_IT_number 1
loop_
_space_group_symop_operation_xyz
'x,y,z'
loop_
_atom_site_label
_atom_site_fract_x
_atom_site_fract_y
_atom_site_fract_z
Al1 0.0000 0.0000 0.0000
Pb1 0.2500 0.2500 0.2500
Pb2 0.7500 0.7500 0.7500
Se1 0.5000 0.5000 0.5000
# Energy above the most stable polymorph in this dataset (kJ/mol of atoms): 15.2
# Energy relative to the elements, uncorrected (eV per atom): 0.209

---

# SCAN Al2PbSe4, single point on PBEsol structure
data_Al2PbSe4
_chemical_formula_sum 'Al4 Pb2 Se8'
_cell_length_a 6.1841
_cell_length_b 6.1841
_cell_length_c 10.7361
_cell_angle_alpha 90.00
_cell_angle_beta 90.00
_cell_angle_gamma 119.86
_space_group_name_H-M_alt 'P 1'
_space_group_IT_number 1
loop_
_space_group_symop_operation_xyz
'x,y,z'
loop_
_atom_site_label
_atom_site_fract_x
_atom_site_fract_y
_atom_site_fract_z
Al1 0.2381 0.7586 0.0000
Al2 0.2414 0.7619 0.5000
Al3 0.7586 0.2381 0.5000
Al4 0.7619 0.2414 0.0000
Pb1 0.5000 0.5000 0.2500
Pb2 0.5000 0.5000 0.7500
Se1 0.0000 0.5000 0.1724
Se2 0.0000 0.5000 0.8276
Se3 0.1872 0.3442 0.5000
Se4 0.3442 0.1872 0.0000
Se5 0.5000 0.0000 0.3276
Se6 0.5000 0.0000 0.6724
Se7 0.6558 0.8128 0.0000
Se8 0.8128 0.6558 0.5000
# Energy relative to the elements, uncorrected (eV per atom): -0.887

---

# SCAN AlPb2Se, single point on PBEsol structure
data_AlPb2Se
_chemical_formula_sum 'Al1 Pb2 Se1'
_cell_length_a 5.6011
_cell_length_b 5.6011
_cell_length_c 5.6011
_cell_angle_alpha 130.27
_cell_angle_beta 130.27
_cell_angle_gamma 72.98
_space_group_name_H-M_alt 'P 1'
_space_group_IT_number 1
loop_
_space_group_symop_operation_xyz
'x,y,z'
loop_
_atom_site_label
_atom_site_fract_x
_atom_site_fract_y
_atom_site_fract_z
Al1 0.0000 0.0000 0.0000
Pb1 0.2500 0.7500 0.5000
Pb2 0.7500 0.2500 0.5000
Se1 0.5000 0.5000 0.0000
# Energy above the most stable polymorph in this dataset (kJ/mol of atoms): 11.0
# Energy relative to the elements, uncorrected (eV per atom): 0.164

---

# SCAN AlPb2Se, single point on PBEsol structure
data_AlPb2Se
_chemical_formula_sum 'Al1 Pb2 Se1'
_cell_length_a 5.1856
_cell_length_b 5.1856
_cell_length_c 5.1856
_cell_angle_alpha 60.00
_cell_angle_beta 60.00
_cell_angle_gamma 60.00
_space_group_name_H-M_alt 'P 1'
_space_group_IT_number 1
loop_
_space_group_symop_operation_xyz
'x,y,z'
loop_
_atom_site_label
_atom_site_fract_x
_atom_site_fract_y
_atom_site_fract_z
Al1 0.0000 0.0000 0.0000
Pb1 0.5000 0.5000 0.5000
Pb2 0.7500 0.7500 0.7500
Se1 0.2500 0.2500 0.2500
# Energy above the most stable polymorph in this dataset (kJ/mol of atoms): 14.8
# Energy relative to the elements, uncorrected (eV per atom): 0.204

---

# SCAN AlPb2Se, single point on PBEsol structure
data_AlPb2Se
_chemical_formula_sum 'Al1 Pb2 Se1'
_cell_length_a 8.2391
_cell_length_b 8.2391
_cell_length_c 8.2391
_cell_angle_alpha 27.54
_cell_angle_beta 27.54
_cell_angle_gamma 27.54
_space_group_name_H-M_alt 'P 1'
_space_group_IT_number 1
loop_
_space_group_symop_operation_xyz
'x,y,z'
loop_
_atom_site_label
_atom_site_fract_x
_atom_site_fract_y
_atom_site_fract_z
Al1 0.0000 0.0000 0.0000
Pb1 0.2487 0.2487 0.2487
Pb2 0.7513 0.7513 0.7513
Se1 0.5000 0.5000 0.5000
# Energy above the most stable polymorph in this dataset (kJ/mol of atoms): 0.0
# Energy relative to the elements, uncorrected (eV per atom): 0.051

---

# SCAN TaAlPbSe2, single point on PBEsol structure
data_TaAlPbSe2
_chemical_formula_sum 'Ta1 Al1 Pb1 Se2'
_cell_length_a 4.7548
_cell_length_b 4.7548
_cell_length_c 5.1826
_cell_angle_alpha 90.00
_cell_angle_beta 90.00
_cell_angle_gamma 90.00
_space_group_name_H-M_alt 'P 1'
_space_group_IT_number 1
loop_
_space_group_symop_operation_xyz
'x,y,z'
loop_
_atom_site_label
_atom_site_fract_x
_atom_site_fract_y
_atom_site_fract_z
Ta1 0.0000 0.0000 0.0000
Al1 0.5000 0.5000 0.5000
Pb1 0.5000 0.5000 0.0000
Se1 0.0000 0.5000 0.5000
Se2 0.5000 0.0000 0.5000
# Energy relative to the elements, uncorrected (eV per atom): 0.952

---

# SCAN Al2SiPb, single point on PBEsol structure
data_Al2SiPb
_chemical_formula_sum 'Al2 Si1 Pb1'
_cell_length_a 3.2301
_cell_length_b 3.2301
_cell_length_c 7.5973
_cell_angle_alpha 90.00
_cell_angle_beta 90.00
_cell_angle_gamma 90.00
_space_group_name_H-M_alt 'P 1'
_space_group_IT_number 1
loop_
_space_group_symop_operation_xyz
'x,y,z'
loop_
_atom_site_label
_atom_site_fract_x
_atom_site_fract_y
_atom_site_fract_z
Al1 0.0000 0.0000 0.0000
Al2 0.5000 0.5000 0.2169
Si1 0.5000 0.5000 0.8203
Pb1 0.0000 0.0000 0.5225
# Energy above the most stable polymorph in this dataset (kJ/mol of atoms): 0.0
# Energy relative to the elements, uncorrected (eV per atom): 0.357

---

# SCAN AlSi2Pb, single point on PBEsol structure
data_AlSi2Pb
_chemical_formula_sum 'Al1 Si2 Pb1'
_cell_length_a 9.4017
_cell_length_b 9.4017
_cell_length_c 9.4017
_cell_angle_alpha 19.21
_cell_angle_beta 19.21
_cell_angle_gamma 19.21
_space_group_name_H-M_alt 'P 1'
_space_group_IT_number 1
loop_
_space_group_symop_operation_xyz
'x,y,z'
loop_
_atom_site_label
_atom_site_fract_x
_atom_site_fract_y
_atom_site_fract_z
Al1 0.0000 0.0000 0.0000
Si1 0.2633 0.2633 0.2633
Si2 0.7367 0.7367 0.7367
Pb1 0.5000 0.5000 0.5000
# Energy above the most stable polymorph in this dataset (kJ/mol of atoms): 15.5
# Energy relative to the elements, uncorrected (eV per atom): 0.562

---

# SCAN AlSi4Pb, single point on PBEsol structure
data_AlSi4Pb
_chemical_formula_sum 'Al1 Si4 Pb1'
_cell_length_a 5.3003
_cell_length_b 5.3003
_cell_length_c 5.3003
_cell_angle_alpha 60.00
_cell_angle_beta 60.00
_cell_angle_gamma 60.00
_space_group_name_H-M_alt 'P 1'
_space_group_IT_number 1
loop_
_space_group_symop_operation_xyz
'x,y,z'
loop_
_atom_site_label
_atom_site_fract_x
_atom_site_fract_y
_atom_site_fract_z
Al1 0.0000 0.0000 0.0000
Si1 0.3733 0.3733 0.3733
Si2 0.3733 0.3733 0.8802
Si3 0.3733 0.8802 0.3733
Si4 0.8802 0.3733 0.3733
Pb1 0.7500 0.7500 0.7500
# Energy relative to the elements, uncorrected (eV per atom): 0.638

---

# SCAN AlSi2Pb, single point on PBEsol structure
data_AlSi2Pb
_chemical_formula_sum 'Al2 Si4 Pb2'
_cell_length_a 7.3261
_cell_length_b 7.3261
_cell_length_c 7.3261
_cell_angle_alpha 132.97
_cell_angle_beta 132.97
_cell_angle_gamma 68.70
_space_group_name_H-M_alt 'P 1'
_space_group_IT_number 1
loop_
_space_group_symop_operation_xyz
'x,y,z'
loop_
_atom_site_label
_atom_site_fract_x
_atom_site_fract_y
_atom_site_fract_z
Al1 0.0000 0.0000 0.0000
Al2 0.7500 0.2500 0.5000
Si1 0.0941 0.6250 0.9691
Si2 0.3750 0.3441 0.4691
Si3 0.6559 0.1250 0.0309
Si4 0.8750 0.9059 0.5309
Pb1 0.2500 0.7500 0.5000
Pb2 0.5000 0.5000 0.0000
# Energy above the most stable polymorph in this dataset (kJ/mol of atoms): 0.0
# Energy relative to the elements, uncorrected (eV per atom): 0.401

---

# SCAN AlSi2Pb, single point on PBEsol structure
data_AlSi2Pb
_chemical_formula_sum 'Al1 Si2 Pb1'
_cell_length_a 3.5967
_cell_length_b 4.5088
_cell_length_c 5.2361
_cell_angle_alpha 90.00
_cell_angle_beta 91.85
_cell_angle_gamma 90.00
_space_group_name_H-M_alt 'P 1'
_space_group_IT_number 1
loop_
_space_group_symop_operation_xyz
'x,y,z'
loop_
_atom_site_label
_atom_site_fract_x
_atom_site_fract_y
_atom_site_fract_z
Al1 0.0000 0.0000 0.0000
Si1 0.2534 0.5000 0.8444
Si2 0.7466 0.5000 0.1556
Pb1 0.5000 0.0000 0.5000
# Energy above the most stable polymorph in this dataset (kJ/mol of atoms): 5.0
# Energy relative to the elements, uncorrected (eV per atom): 0.453